[1]
! Ho2TlS | the Alexandria database | GGA-PBE | relaxed; values from VASP
&SYSTEM
  ibrav = 0, nat = 4, ntyp = 3
/
ATOMIC_SPECIES
Ho 164.93 Ho.upf
Tl 204.38 Tl.upf
S 32.06 S.upf
CELL_PARAMETERS angstrom
3.2999 -1.9013 0.0000
3.2999 1.9013 0.0000
-2.1758 0.0000 7.9091
ATOMIC_POSITIONS angstrom
Ho 1.0986 0.0000 1.5945
Ho 3.3253 0.0000 6.3147
Tl -1.0879 0.0000 3.9546
S 3.2999 0.0000 0.0000
! * E_form (uncorrected): -4.7 eV/f.u.
! * magnetization: 0.00 μB/f.u.
! * symmetry: C2/m, No. 12
! * distance to the lowest polymorph of the same formula: 0.00 eV per formula unit

---

[2]
! HoTlS2 | the Alexandria database | GGA-PBE | relaxed; values from VASP
&SYSTEM
  ibrav = 0, nat = 4, ntyp = 3
/
ATOMIC_SPECIES
Ho 164.93 Ho.upf
Tl 204.38 Tl.upf
S 32.06 S.upf
CELL_PARAMETERS angstrom
2.0066 1.1585 7.5232
-2.0066 1.1585 7.5232
0.0000 -2.3170 7.5232
ATOMIC_POSITIONS angstrom
Ho 0.0000 0.0000 0.0000
Tl 0.0000 0.0000 11.2848
S 0.0000 0.0000 6.0430
S 0.0000 0.0000 16.5265
! * E_form (uncorrected): -6.0 eV/f.u.
! * magnetization: 0.00 μB/f.u.
! * symmetry: R-3m, No. 166

---

[3]
! HoTl2S2 | the Alexandria database | GGA-PBE | relaxed; values from VASP
&SYSTEM
  ibrav = 0, nat = 5, ntyp = 3
/
ATOMIC_SPECIES
Ho 164.93 Ho.upf
Tl 204.38 Tl.upf
S 32.06 S.upf
CELL_PARAMETERS angstrom
3.3875 -1.9618 0.0000
3.3875 1.9618 0.0000
-2.6939 0.0000 10.7716
ATOMIC_POSITIONS angstrom
Ho 0.0000 0.0000 0.0000
Tl 1.4673 0.0000 6.9108
Tl 2.6138 0.0000 3.8608
S -0.4389 0.0000 9.2541
S 4.5200 0.0000 1.5175
! * E_form (uncorrected): -5.5 eV/f.u.
! * magnetization: 0.00 μB/f.u.
! * symmetry: C2/m, No. 12

---

[4]
! Ho5TlS4 | the Alexandria database | GGA-PBE | relaxed; values from VASP
&SYSTEM
  ibrav = 0, nat = 10, ntyp = 3
/
ATOMIC_SPECIES
Ho 164.93 Ho.upf
Tl 204.38 Tl.upf
S 32.06 S.upf
CELL_PARAMETERS angstrom
6.6338 -1.9549 0.0000
6.6338 1.9549 0.0000
-5.0013 0.0000 8.6534
ATOMIC_POSITIONS angstrom
Ho 0.0000 0.0000 0.0000
Ho -1.3735 0.0000 7.0559
Ho 2.0795 0.0000 5.2994
Ho 6.1868 0.0000 3.3541
Ho 9.6398 0.0000 1.5975
Tl -2.5007 0.0000 4.3267
S 1.2468 0.0000 2.4893
S 4.8647 0.0000 0.8533
S 3.4016 0.0000 7.8001
S 7.0195 0.0000 6.1641
! * E_form (uncorrected): -15.9 eV/f.u.
! * magnetization: 0.00 μB/f.u.
! * symmetry: C2/m, No. 12

---

[5]
! Ho3TlS6 | the Alexandria database | GGA-PBE | relaxed; values from VASP
&SYSTEM
  ibrav = 0, nat = 20, ntyp = 3
/
ATOMIC_SPECIES
Ho 164.93 Ho.upf
Tl 204.38 Tl.upf
S 32.06 S.upf
CELL_PARAMETERS angstrom
5.3381 -6.6925 0.0000
5.3381 6.6925 0.0000
0.0000 0.0000 6.6323
ATOMIC_POSITIONS angstrom
Ho 5.3381 5.4395 3.3162
Ho 3.3412 1.3094 3.9169
Ho 3.3412 -1.3094 0.6007
Ho 7.3351 1.3094 3.9169
Ho 7.3351 -1.3094 0.6007
Ho 5.3381 -5.4395 0.0000
Tl 5.3381 2.7059 0.7101
Tl 5.3381 -2.7059 4.0263
S 3.4655 3.6705 2.1841
S 1.7370 0.4303 1.9426
S 1.7370 -0.4303 5.2588
S 5.3381 2.9620 4.8576
S 7.2107 3.6705 2.1841
S 5.3381 0.3972 1.9515
S 5.3381 -0.3972 5.2677
S 3.4655 -3.6705 5.5002
S 5.3381 -2.9620 1.5415
S 8.9393 0.4303 1.9426
S 8.9393 -0.4303 5.2588
S 7.2107 -3.6705 5.5002
! * E_form (uncorrected): -15.6 eV/f.u.
! * magnetization: 0.00 μB/f.u.
! * symmetry: Cmc2_1, No. 36

---

[6]
! Ho2TlS | the Alexandria database | GGA-PBE | relaxed; values from VASP
&SYSTEM
  ibrav = 0, nat = 4, ntyp = 3
/
ATOMIC_SPECIES
Ho 164.93 Ho.upf
Tl 204.38 Tl.upf
S 32.06 S.upf
CELL_PARAMETERS angstrom
1.8884 1.0903 8.0894
-1.8884 1.0903 8.0894
0.0000 -2.1805 8.0894
ATOMIC_POSITIONS angstrom
Ho 0.0000 0.0000 0.0000
Ho 0.0000 0.0000 4.8999
Tl 0.0000 0.0000 18.6294
S 0.0000 0.0000 14.5613
! * E_form (uncorrected): -4.5 eV/f.u.
! * magnetization: 0.00 μB/f.u.
! * symmetry: R3m, No. 160
! * distance to the lowest polymorph of the same formula: 0.14 eV per formula unit

---

[7]
! Ho3TlS4 | the Alexandria database | GGA-PBE | relaxed; values from VASP
&SYSTEM
  ibrav = 0, nat = 16, ntyp = 3
/
ATOMIC_SPECIES
Ho 164.93 Ho.upf
Tl 204.38 Tl.upf
S 32.06 S.upf
CELL_PARAMETERS angstrom
3.9294 0.0000 0.0000
-1.9647 3.4029 0.0000
0.0000 0.0000 28.0930
ATOMIC_POSITIONS angstrom
Ho 0.0000 0.0000 0.0000
Ho 0.0000 0.0000 14.0465
Ho 0.0000 2.2686 3.1612
Ho 0.0000 2.2686 10.8852
Ho 1.9647 1.1343 17.2077
Ho 1.9647 1.1343 24.9317
Tl 0.0000 2.2686 21.0697
Tl 1.9647 1.1343 7.0232
S 0.0000 0.0000 4.6462
S 0.0000 0.0000 9.4002
S 0.0000 0.0000 18.6927
S 0.0000 0.0000 23.4467
S 0.0000 2.2686 15.6239
S 0.0000 2.2686 26.5156
S 1.9647 1.1343 1.5774
S 1.9647 1.1343 12.4691
! * E_form (uncorrected): -13.8 eV/f.u.
! * magnetization: 0.00 μB/f.u.
! * symmetry: P6_3/mmc, No. 194

---

[8]
! Ho4TlS6 | the Alexandria database | GGA-PBE | relaxed; values from VASP
&SYSTEM
  ibrav = 0, nat = 22, ntyp = 3
/
ATOMIC_SPECIES
Ho 164.93 Ho.upf
Tl 204.38 Tl.upf
S 32.06 S.upf
CELL_PARAMETERS angstrom
1.9679 -6.5437 0.0000
1.9679 6.5437 0.0000
0.0000 0.0000 20.8724
ATOMIC_POSITIONS angstrom
Ho 1.9679 5.2564 13.2194
Ho 1.9679 5.2564 18.0892
Ho 1.9679 1.7240 11.2917
Ho 1.9679 1.7240 20.0169
Ho 1.9679 -1.7240 0.8555
Ho 1.9679 -1.7240 9.5807
Ho 1.9679 -5.2564 2.7832
Ho 1.9679 -5.2564 7.6530
Tl 1.9679 4.4840 5.2181
Tl 1.9679 -4.4840 15.6543
S 0.0000 0.0000 0.0000
S 0.0000 0.0000 10.4362
S 1.9679 4.3940 15.6543
S 1.9679 2.9922 1.6527
S 1.9679 2.9922 8.7835
S 1.9679 0.4594 13.5874
S 1.9679 0.4594 17.7213
S 1.9679 -0.4594 3.1511
S 1.9679 -0.4594 7.2851
S 1.9679 -2.9922 12.0889
S 1.9679 -2.9922 19.2197
S 1.9679 -4.3940 5.2181
! * E_form (uncorrected): -19.8 eV/f.u.
! * magnetization: 0.00 μB/f.u.
! * symmetry: Cmcm, No. 63

---

[9]
! Ho7TlS5 | the Alexandria database | GGA-PBE | relaxed; values from VASP
&SYSTEM
  ibrav = 0, nat = 26, ntyp = 3
/
ATOMIC_SPECIES
Ho 164.93 Ho.upf
Tl 204.38 Tl.upf
S 32.06 S.upf
CELL_PARAMETERS angstrom
1.9508 -6.4923 0.0000
1.9508 6.4923 0.0000
0.0000 0.0000 23.3859
ATOMIC_POSITIONS angstrom
Ho 1.9508 6.3114 17.5394
Ho 1.9508 4.7210 0.8323
Ho 1.9508 4.7210 10.8607
Ho 1.9508 2.2632 15.7092
Ho 1.9508 2.2632 19.3697
Ho 1.9508 1.2122 2.5642
Ho 1.9508 1.2122 9.1288
Ho 1.9508 -1.2122 14.2571
Ho 1.9508 -1.2122 20.8218
Ho 1.9508 -2.2632 4.0163
Ho 1.9508 -2.2632 7.6767
Ho 1.9508 -4.7210 12.5253
Ho 1.9508 -4.7210 22.5536
Ho 1.9508 -6.3114 5.8465
Tl 1.9508 2.5797 5.8465
Tl 1.9508 -2.5797 17.5394
S 1.9508 5.9302 3.2425
S 1.9508 5.9302 8.4504
S 1.9508 3.5502 13.3264
S 1.9508 3.5502 21.7525
S 1.9508 0.0000 0.0000
S 1.9508 0.0000 11.6930
S 1.9508 -3.5502 1.6335
S 1.9508 -3.5502 10.0595
S 1.9508 -5.9302 14.9355
S 1.9508 -5.9302 20.1434
! * E_form (uncorrected): -20.8 eV/f.u.
! * magnetization: 0.00 μB/f.u.
! * symmetry: Cmcm, No. 63

---

[10]
! HoTlS2 | the Alexandria database | GGA-PBE | relaxed; values from VASP
&SYSTEM
  ibrav = 0, nat = 4, ntyp = 3
/
ATOMIC_SPECIES
Ho 164.93 Ho.upf
Tl 204.38 Tl.upf
S 32.06 S.upf
CELL_PARAMETERS angstrom
1.9993 1.1543 7.6224
-1.9993 1.1543 7.6224
0.0000 -2.3086 7.6224
ATOMIC_POSITIONS angstrom
Ho 0.0000 0.0000 0.0000
Tl 0.0000 0.0000 3.8831
S 0.0000 0.0000 9.0945
S 0.0000 0.0000 13.7367
! * E_form (uncorrected): -5.9 eV/f.u.
! * magnetization: 0.00 μB/f.u.
! * symmetry: R3m, No. 160

---

[11]
! Ho4TlS2 | the Alexandria database | GGA-PBE | relaxed; values from VASP
&SYSTEM
  ibrav = 0, nat = 7, ntyp = 3
/
ATOMIC_SPECIES
Ho 164.93 Ho.upf
Tl 204.38 Tl.upf
S 32.06 S.upf
CELL_PARAMETERS angstrom
1.8917 1.0922 14.1879
-1.8917 1.0922 14.1879
0.0000 -2.1844 14.1879
ATOMIC_POSITIONS angstrom
Ho 0.0000 0.0000 5.6486
Ho 0.0000 0.0000 11.7937
Ho 0.0000 0.0000 30.7702
Ho 0.0000 0.0000 36.9153
Tl 0.0000 0.0000 0.0000
S 0.0000 0.0000 18.1640
S 0.0000 0.0000 24.3998
! * E_form (uncorrected): -8.5 eV/f.u.
! * magnetization: 0.03 μB/f.u.
! * symmetry: R-3m, No. 166

---

[12]
! Ho2TmTl3S6 | the Alexandria database | GGA-PBE | relaxed; values from VASP
&SYSTEM
  ibrav = 0, nat = 12, ntyp = 4
/
ATOMIC_SPECIES
Ho 164.93 Ho.upf
Tm 168.93 Tm.upf
Tl 204.38 Tl.upf
S 32.06 S.upf
CELL_PARAMETERS angstrom
3.4639 -6.0003 0.0000
3.4639 6.0003 0.0000
-2.3093 0.0000 7.5246
ATOMIC_POSITIONS angstrom
Ho 3.4639 4.0004 0.0000
Ho 3.4639 -4.0004 0.0000
Tm 3.4639 0.0000 0.0000
Tl -1.1546 0.0000 3.7623
Tl 2.3093 2.0058 3.7623
Tl 2.3093 -2.0058 3.7623
S 0.0078 1.9862 6.0492
S 1.1705 0.0000 1.4795
S 0.0078 -1.9862 6.0492
S 4.6108 1.9862 1.4755
S 3.4480 0.0000 6.0451
S 4.6108 -1.9862 1.4755
! * E_form (uncorrected): -17.9 eV/f.u.
! * magnetization: 0.00 μB/f.u.
! * symmetry: C2/m, No. 12

---

E_form (uncorrected) of number 9 (Ho7TlS5)?
-20.8 eV/f.u.

---

Copy entry 4 word for word.
! Ho5TlS4 | the Alexandria database | GGA-PBE | relaxed; values from VASP
&SYSTEM
  ibrav = 0, nat = 10, ntyp = 3
/
ATOMIC_SPECIES
Ho 164.93 Ho.upf
Tl 204.38 Tl.upf
S 32.06 S.upf
CELL_PARAMETERS angstrom
6.6338 -1.9549 0.0000
6.6338 1.9549 0.0000
-5.0013 0.0000 8.6534
ATOMIC_POSITIONS angstrom
Ho 0.0000 0.0000 0.0000
Ho -1.3735 0.0000 7.0559
Ho 2.0795 0.0000 5.2994
Ho 6.1868 0.0000 3.3541
Ho 9.6398 0.0000 1.5975
Tl -2.5007 0.0000 4.3267
S 1.2468 0.0000 2.4893
S 4.8647 0.0000 0.8533
S 3.4016 0.0000 7.8001
S 7.0195 0.0000 6.1641
! * E_form (uncorrected): -15.9 eV/f.u.
! * magnetization: 0.00 μB/f.u.
! * symmetry: C2/m, No. 12

---

Which formula does entry 8 have?
Ho4TlS6

---

What is the formula in the ninth record?
Ho7TlS5